(1)
Tm4HSe2: relaxed, GGA-PBE.

a b c (Å): 4.188 4.188 8.658
angles (deg): 76.01 76.01 90.00
Sites, in units of the cell vectors:
H: 0.000 0.000 0.000
Tm: 0.186 0.186 0.629
Tm: 0.814 0.814 0.371
Tm: 0.000 0.500 0.000
Tm: 0.500 0.000 0.000
Se: 0.369 0.369 0.261
Se: 0.631 0.631 0.739

The volume comes out at 20.383 Å³/atom. Its uncorrected energy is -4.81 eV/atom. Its space group is No. 139. Its size of the total moment is 0.00 μB/cell.

---

(2)
LaPm3Bi4: relaxed, GGA-PBE.

a b c (Å): 4.615 7.986 7.986
angles (deg): 109.47 90.00 90.00
Sites, in units of the cell vectors:
La: 0.500 0.000 0.000
Pm: 0.000 0.000 0.500
Pm: 0.500 0.500 0.500
Pm: 0.000 0.500 0.000
Bi: 0.000 0.254 0.254
Bi: 0.500 0.748 0.252
Bi: 0.000 0.746 0.746
Bi: 0.500 0.252 0.748

Its calculated formation energy is -7.75 eV/f.u. The volume comes out at 34.688 Å³/atom. Its uncorrected energy is -5.31 eV/atom. Its space group is No. 65. Its size of the total moment is 0.00 μB/cell.

---

(3)
LaPmPr6Sm2: relaxed, GGA-PBE.

a b c (Å): 10.038 9.070 9.070
angles (deg): 118.02 94.60 94.60
Sites, in units of the cell vectors:
La: 0.250 0.405 0.595
La: 0.750 0.595 0.405
Pm: 0.250 0.976 0.024
Pm: 0.750 0.024 0.976
Pr: 0.055 0.113 0.752
Pr: 0.445 0.248 0.887
Pr: 0.945 0.887 0.248
Pr: 0.555 0.752 0.113
Pr: 0.317 0.979 0.430
Pr: 0.183 0.570 0.021
Pr: 0.683 0.021 0.570
Pr: 0.817 0.430 0.979
Pr: 0.121 0.703 0.495
Pr: 0.379 0.505 0.297
Pr: 0.879 0.297 0.505
Pr: 0.621 0.495 0.703
Sm: 0.456 0.809 0.711
Sm: 0.044 0.289 0.191
Sm: 0.544 0.191 0.289
Sm: 0.956 0.711 0.809

Its calculated formation energy is 1.09 eV/f.u. The volume comes out at 36.008 Å³/atom. Its uncorrected energy is -4.67 eV/atom. Its space group is No. 15. Its size of the total moment is 0.00 μB/cell.

---

(4)
LiPaPd14: relaxed, GGA-PBE.

a b c (Å): 5.702 5.702 7.822
angles (deg): 90.00 90.00 90.00
Sites, in units of the cell vectors:
Li: 0.375 0.375 0.500
Pa: 0.875 0.875 0.500
Pd: 0.875 0.875 0.000
Pd: 0.375 0.375 0.000
Pd: 0.875 0.375 0.500
Pd: 0.875 0.375 0.000
Pd: 0.375 0.875 0.500
Pd: 0.375 0.875 0.000
Pd: 0.625 0.125 0.250
Pd: 0.625 0.125 0.750
Pd: 0.125 0.625 0.250
Pd: 0.125 0.625 0.750
Pd: 0.625 0.625 0.250
Pd: 0.625 0.625 0.750
Pd: 0.125 0.125 0.250
Pd: 0.125 0.125 0.750

Its calculated formation energy is -5.13 eV/f.u. The volume comes out at 15.897 Å³/atom. Its uncorrected energy is -5.58 eV/atom. Its space group is No. 123. Its size of the total moment is 0.00 μB/cell.

---

(5)
TlFe2Bi: relaxed, GGA-PBE.

a b c (Å): 4.401 4.401 9.869
angles (deg): 77.12 77.12 90.00
Sites, in units of the cell vectors:
Tl: 0.500 0.500 0.000
Tl: 0.250 0.750 0.500
Bi: 0.000 0.000 0.000
Bi: 0.750 0.250 0.500
Fe: 0.537 0.125 0.250
Fe: 0.213 0.625 0.250
Fe: 0.375 0.463 0.750
Fe: 0.875 0.787 0.750

The polymorph energy (0 for the lowest one) is 0.000 eV/atom. Its calculated formation energy is 3.29 eV/f.u. The volume comes out at 22.676 Å³/atom. Its uncorrected energy is -4.97 eV/atom. Its space group is No. 122. Its size of the total moment is 11.22 μB/cell.

---

(6)
PmYNiIr: relaxed, GGA-PBE.

a b c (Å): 4.896 4.896 4.896
angles (deg): 60.00 60.00 60.00
Sites, in units of the cell vectors:
Y: 0.750 0.750 0.750
Ni: 0.000 0.000 0.000
Ir: 0.500 0.500 0.500
Pm: 0.250 0.250 0.250

The polymorph energy (0 for the lowest one) is 0.049 eV/atom. Its calculated formation energy is -2.15 eV/f.u. The volume comes out at 20.751 Å³/atom. Its uncorrected energy is -7.00 eV/atom. Its space group is No. 216. Its size of the total moment is 0.00 μB/cell.

---

(7)
HgAu: relaxed, GGA-PBE.

a b c (Å): 3.116 3.116 9.845
angles (deg): 90.00 90.00 120.00
Sites, in units of the cell vectors:
Au: 0.000 0.000 0.010
Au: 0.333 0.667 0.240
Hg: 0.000 0.000 0.487
Hg: 0.333 0.667 0.763

Its calculated formation energy is 0.23 eV/f.u. The volume comes out at 20.695 Å³/atom. Its uncorrected energy is -1.68 eV/atom. Its space group is No. 164. Its size of the total moment is 0.00 μB/cell.

---

(8)
TiVAu2: relaxed, GGA-PBE.

a b c (Å): 7.324 7.324 5.831
angles (deg): 51.10 51.10 90.00
Sites, in units of the cell vectors:
V: 0.000 0.000 0.000
V: 0.750 0.250 0.500
Au: 0.633 0.125 0.250
Au: 0.117 0.625 0.250
Au: 0.375 0.367 0.750
Au: 0.875 0.883 0.750
Ti: 0.500 0.500 0.000
Ti: 0.250 0.750 0.500

The polymorph energy (0 for the lowest one) is 0.392 eV/atom. Its calculated formation energy is 0.98 eV/f.u. The volume comes out at 17.967 Å³/atom. Its uncorrected energy is -5.65 eV/atom. Its space group is No. 122. Its size of the total moment is 2.26 μB/cell.

---

(9)
Sr2IrPt: relaxed, GGA-PBE.

a b c (Å): 8.072 8.072 6.469
angles (deg): 51.40 51.40 90.00
Sites, in units of the cell vectors:
Sr: 0.619 0.125 0.250
Sr: 0.131 0.625 0.250
Sr: 0.375 0.381 0.750
Sr: 0.875 0.869 0.750
Ir: 0.500 0.500 0.000
Ir: 0.250 0.750 0.500
Pt: 0.000 0.000 0.000
Pt: 0.750 0.250 0.500

Its calculated formation energy is 0.09 eV/f.u. The volume comes out at 24.798 Å³/atom. Its uncorrected energy is -4.54 eV/atom. Its space group is No. 122. Its size of the total moment is 0.00 μB/cell.

---

(10)
ZnCrCu2: relaxed, GGA-PBE.

a b c (Å): 8.815 8.815 8.815
angles (deg): 16.76 16.76 16.76
Sites, in units of the cell vectors:
Cr: 0.750 0.750 0.750
Cu: 0.001 0.001 0.001
Cu: 0.499 0.499 0.499
Zn: 0.250 0.250 0.250

Its calculated formation energy is 0.65 eV/f.u. The volume comes out at 12.423 Å³/atom. Its uncorrected energy is -4.61 eV/atom. Its space group is No. 166. Its size of the total moment is 0.44 μB/cell.

---

(11)
TiMn2MoH: relaxed, GGA-PBE.

a b c (Å): 3.723 3.723 4.176
angles (deg): 90.00 90.00 90.00
Sites, in units of the cell vectors:
H: 0.000 0.000 0.000
Mo: 0.000 0.000 0.500
Mn: 0.000 0.500 0.000
Mn: 0.500 0.000 0.000
Ti: 0.500 0.500 0.500

The polymorph energy (0 for the lowest one) is 0.000 eV/atom. The volume comes out at 11.575 Å³/atom. Its uncorrected energy is -8.04 eV/atom. Its space group is No. 123. Its size of the total moment is 3.92 μB/cell.

---

(12)
MnBeI2: relaxed, GGA-PBE.

a b c (Å): 4.770 4.770 4.770
angles (deg): 60.00 60.00 60.00
Sites, in units of the cell vectors:
I: 0.250 0.250 0.250
I: 0.750 0.750 0.750
Be: 0.000 0.000 0.000
Mn: 0.500 0.500 0.500

The polymorph energy (0 for the lowest one) is 0.681 eV/atom. As for the formation energy (no corrections): 1.21 eV/atom. The volume comes out at 19.189 Å³/atom. Its uncorrected energy is -2.79 eV/atom. Its space group is No. 225. Its size of the total moment is 0.00 μB/cell.